[1]
! MnPPt3 | Alexandria via LeMat-Bulk | PBE-GGA | relaxed; values from VASP
&SYSTEM
  ibrav = 0, nat = 5, ntyp = 3
/
ATOMIC_SPECIES
Mn 54.94 Mn.upf
P 30.97 P.upf
Pt 195.08 Pt.upf
CELL_PARAMETERS angstrom
4.5486 0.0000 0.0000
0.0000 4.5486 0.0000
0.0000 0.0000 4.5486
ATOMIC_POSITIONS angstrom
Mn 0.0000 0.0000 0.0000
P 2.2743 2.2743 2.2743
Pt 0.0000 0.0000 2.2743
Pt 0.0000 2.2743 0.0000
Pt 2.2743 0.0000 0.0000
! Volume = 18.8 Å³ per atom
! ΔE_f = 1.226 eV/atom
! Total DFT energy (no corrections) = -5.314 eV per atom
! N(E_F) = 1.30 states/eV per atom
! Size of the total moment = 0.0 μB per formula unit



[2]
! MnP2Pt | Alexandria via LeMat-Bulk | PBE-GGA | relaxed; values from VASP
&SYSTEM
  ibrav = 0, nat = 4, ntyp = 3
/
ATOMIC_SPECIES
Mn 54.94 Mn.upf
P 30.97 P.upf
Pt 195.08 Pt.upf
CELL_PARAMETERS angstrom
-1.7961 1.7961 4.3886
1.7961 -1.7961 4.3886
1.7961 1.7961 -4.3886
ATOMIC_POSITIONS angstrom
Mn 0.0000 0.0000 0.0000
P 1.7961 0.0000 2.1943
P 0.0000 0.0000 4.3886
Pt 0.0000 1.7961 2.1943
! Volume = 14.2 Å³ per atom
! ΔE_f = 0.028 eV/atom
! Total DFT energy (no corrections) = -6.479 eV per atom
! N(E_F) = 0.75 states/eV per atom
! Size of the total moment = 3.2 μB per formula unit



[3]
! Mn4PPt | Alexandria via LeMat-Bulk | PBE-GGA | relaxed; values from VASP
&SYSTEM
  ibrav = 0, nat = 6, ntyp = 3
/
ATOMIC_SPECIES
Mn 54.94 Mn.upf
P 30.97 P.upf
Pt 195.08 Pt.upf
CELL_PARAMETERS angstrom
0.0000 3.3527 3.3527
3.3527 0.0000 3.3527
3.3527 3.3527 0.0000
ATOMIC_POSITIONS angstrom
Mn 0.8357 0.8357 0.8357
Mn 2.5170 2.5170 0.8357
Mn 2.5170 0.8357 2.5170
Mn 0.8357 2.5170 2.5170
P 5.0291 5.0291 5.0291
Pt 3.3527 3.3527 3.3527
! Volume = 12.6 Å³ per atom
! ΔE_f = 0.326 eV/atom
! Total DFT energy (no corrections) = -7.695 eV per atom
! N(E_F) = 1.79 states/eV per atom
! Size of the total moment = 6.0 μB per formula unit



[4]
! MnP2Pt | Alexandria via LeMat-Bulk | PBE-GGA | relaxed; values from VASP
&SYSTEM
  ibrav = 0, nat = 4, ntyp = 3
/
ATOMIC_SPECIES
Mn 54.94 Mn.upf
P 30.97 P.upf
Pt 195.08 Pt.upf
CELL_PARAMETERS angstrom
3.3550 0.0000 0.0000
0.0000 3.3550 0.0000
0.0000 0.0000 4.8723
ATOMIC_POSITIONS angstrom
Mn 0.0000 0.0000 0.0000
P 0.0000 0.0000 2.4659
P 1.6775 1.6775 0.6583
Pt 1.6775 1.6775 3.1343
! Volume = 13.7 Å³ per atom
! ΔE_f = -0.247 eV/atom
! Total DFT energy (no corrections) = -6.754 eV per atom
! N(E_F) = 0.66 states/eV per atom
! Size of the total moment = 1.3 μB per formula unit



[5]
! MnP2Pt | Alexandria via LeMat-Bulk | PBE-GGA | relaxed; values from VASP
&SYSTEM
  ibrav = 0, nat = 8, ntyp = 3
/
ATOMIC_SPECIES
Mn 54.94 Mn.upf
P 30.97 P.upf
Pt 195.08 Pt.upf
CELL_PARAMETERS angstrom
-2.5999 2.5999 5.1660
2.5999 -2.5999 5.1660
2.5999 2.5999 -5.1660
ATOMIC_POSITIONS angstrom
Mn 0.0000 0.0000 0.0000
Mn 0.0000 2.5999 2.5830
P 3.8999 1.1654 -1.2915
P 1.1654 1.3000 1.2915
P -1.3000 1.4345 3.8745
P 1.4345 1.3000 6.4576
Pt 2.5999 0.0000 2.5830
Pt 0.0000 0.0000 5.1660
! Volume = 17.5 Å³ per atom
! ΔE_f = -0.186 eV/atom
! Total DFT energy (no corrections) = -6.693 eV per atom
! N(E_F) = 0.60 states/eV per atom
! Size of the total moment = 0.0 μB per formula unit



[6]
! MnP2Pt | Alexandria via LeMat-Bulk | PBE-GGA | relaxed; values from VASP
&SYSTEM
  ibrav = 0, nat = 4, ntyp = 3
/
ATOMIC_SPECIES
Mn 54.94 Mn.upf
P 30.97 P.upf
Pt 195.08 Pt.upf
CELL_PARAMETERS angstrom
0.0000 3.0814 3.0814
3.0814 0.0000 3.0814
3.0814 3.0814 0.0000
ATOMIC_POSITIONS angstrom
Mn 0.0000 0.0000 0.0000
P 3.0814 3.0814 3.0814
P 4.6220 4.6220 4.6220
Pt 1.5407 1.5407 1.5407
! Volume = 14.6 Å³ per atom
! ΔE_f = 0.272 eV/atom
! Total DFT energy (no corrections) = -6.235 eV per atom
! N(E_F) = 0.45 states/eV per atom
! Size of the total moment = 3.3 μB per formula unit



[7]
! MnP2Pt | Alexandria via LeMat-Bulk | PBE-GGA | relaxed; values from VASP
&SYSTEM
  ibrav = 0, nat = 4, ntyp = 3
/
ATOMIC_SPECIES
Mn 54.94 Mn.upf
P 30.97 P.upf
Pt 195.08 Pt.upf
CELL_PARAMETERS angstrom
3.7549 -1.6122 0.0000
3.7549 1.6122 0.0000
-1.0658 0.0000 4.6347
ATOMIC_POSITIONS angstrom
Mn 0.0000 0.0000 0.0000
P 2.1774 0.0000 0.1661
P 3.2004 0.0000 3.0226
Pt 5.3689 0.0000 1.9177
! Volume = 14.0 Å³ per atom
! ΔE_f = -0.288 eV/atom
! Total DFT energy (no corrections) = -6.795 eV per atom
! N(E_F) = 0.55 states/eV per atom
! Size of the total moment = 1.0 μB per formula unit



[8]
! MnP2Pt | Alexandria via LeMat-Bulk | PBE-GGA | relaxed; values from VASP
&SYSTEM
  ibrav = 0, nat = 4, ntyp = 3
/
ATOMIC_SPECIES
Mn 54.94 Mn.upf
P 30.97 P.upf
Pt 195.08 Pt.upf
CELL_PARAMETERS angstrom
3.6684 -1.4729 0.0000
3.6684 1.4729 0.0000
-0.9312 0.0000 4.8335
ATOMIC_POSITIONS angstrom
Mn 0.0000 0.0000 0.0000
P 1.2065 0.0000 3.8434
P 5.1990 0.0000 0.9901
Pt 3.2027 0.0000 2.4167
! Volume = 13.1 Å³ per atom
! ΔE_f = -0.153 eV/atom
! Total DFT energy (no corrections) = -6.661 eV per atom
! N(E_F) = 0.60 states/eV per atom
! Size of the total moment = 0.0 μB per formula unit



[9]
! MnP2Pt | Alexandria via LeMat-Bulk | PBE-GGA | relaxed; values from VASP
&SYSTEM
  ibrav = 0, nat = 4, ntyp = 3
/
ATOMIC_SPECIES
Mn 54.94 Mn.upf
P 30.97 P.upf
Pt 195.08 Pt.upf
CELL_PARAMETERS angstrom
4.1273 0.0000 0.0000
0.0000 3.8049 0.0000
-0.3324 0.0000 4.2281
ATOMIC_POSITIONS angstrom
Mn 0.0000 0.0000 0.0000
P 1.1024 1.9025 3.3401
P 2.6926 1.9025 0.8880
Pt 1.8975 0.0000 2.1140
! Volume = 16.6 Å³ per atom
! ΔE_f = -0.192 eV/atom
! Total DFT energy (no corrections) = -6.700 eV per atom
! N(E_F) = 0.42 states/eV per atom
! Size of the total moment = 4.2 μB per formula unit



[10]
! MnP2Pt | Alexandria via LeMat-Bulk | PBE-GGA | relaxed; values from VASP
&SYSTEM
  ibrav = 0, nat = 4, ntyp = 3
/
ATOMIC_SPECIES
Mn 54.94 Mn.upf
P 30.97 P.upf
Pt 195.08 Pt.upf
CELL_PARAMETERS angstrom
1.4328 0.8272 7.3666
-1.4328 0.8272 7.3666
0.0000 -1.6544 7.3666
ATOMIC_POSITIONS angstrom
Mn 0.0000 0.0000 0.0000
P 0.0000 0.0000 5.7660
P 0.0000 0.0000 16.3338
Pt 0.0000 0.0000 11.0499
! Volume = 13.1 Å³ per atom
! ΔE_f = -0.178 eV/atom
! Total DFT energy (no corrections) = -6.685 eV per atom
! N(E_F) = 0.51 states/eV per atom
! Size of the total moment = 0.0 μB per formula unit



[11]
! MnP2Pt | Alexandria via LeMat-Bulk | PBE-GGA | relaxed; values from VASP
&SYSTEM
  ibrav = 0, nat = 4, ntyp = 3
/
ATOMIC_SPECIES
Mn 54.94 Mn.upf
P 30.97 P.upf
Pt 195.08 Pt.upf
CELL_PARAMETERS angstrom
0.0000 3.0270 3.0270
3.0270 0.0000 3.0270
3.0270 3.0270 0.0000
ATOMIC_POSITIONS angstrom
Mn 0.0000 0.0000 0.0000
P 1.5135 1.5135 1.5135
P 4.5406 4.5406 4.5406
Pt 3.0270 3.0270 3.0270
! Volume = 13.9 Å³ per atom
! ΔE_f = 0.018 eV/atom
! Total DFT energy (no corrections) = -6.489 eV per atom
! N(E_F) = 0.56 states/eV per atom
! Size of the total moment = 3.0 μB per formula unit



[12]
! MnP2Pt | Alexandria via LeMat-Bulk | PBE-GGA | relaxed; values from VASP
&SYSTEM
  ibrav = 0, nat = 4, ntyp = 3
/
ATOMIC_SPECIES
Mn 54.94 Mn.upf
P 30.97 P.upf
Pt 195.08 Pt.upf
CELL_PARAMETERS angstrom
2.9611 0.0000 0.0000
0.0000 2.9864 0.0000
0.0000 0.0000 5.9288
ATOMIC_POSITIONS angstrom
Mn 0.0000 0.0000 0.0000
P 1.4805 1.4932 1.2764
P 1.4805 1.4932 4.6524
Pt 0.0000 0.0000 2.9644
! Volume = 13.1 Å³ per atom
! ΔE_f = -0.017 eV/atom
! Total DFT energy (no corrections) = -6.524 eV per atom
! N(E_F) = 0.78 states/eV per atom
! Size of the total moment = 1.6 μB per formula unit



[13]
! MnP2RuPt | Alexandria via LeMat-Bulk | PBE-GGA | relaxed; values from VASP
&SYSTEM
  ibrav = 0, nat = 5, ntyp = 4
/
ATOMIC_SPECIES
Mn 54.94 Mn.upf
P 30.97 P.upf
Ru 101.07 Ru.upf
Pt 195.08 Pt.upf
CELL_PARAMETERS angstrom
3.8435 0.0000 0.0000
-1.9218 3.3286 0.0000
0.0000 0.0000 5.4431
ATOMIC_POSITIONS angstrom
Mn 0.0000 0.0000 0.0000
P 0.0000 0.0000 2.2402
P 0.0000 2.2191 5.0079
Ru 0.0000 2.2191 1.8615
Pt 1.9218 1.1095 3.6857
! Volume = 13.9 Å³ per atom
! ΔE_f = -0.435 eV/atom
! Total DFT energy (no corrections) = -7.497 eV per atom
! N(E_F) = 0.49 states/eV per atom
! Size of the total moment = 0.0 μB per formula unit